[1]
DFT (GGA-PBE) results for an optimized crystal structure of LaSc2Ir9. Values from VASP.

Energy of formation from the pure elements   -0.532 eV/atom

```
&SYSTEM
  ibrav = 0, nat = 12, ntyp = 3
/
ATOMIC_SPECIES
La 138.91 La.upf
Sc 44.96 Sc.upf
Ir 192.22 Ir.upf
CELL_PARAMETERS angstrom
5.074 0.000 1.510
2.312 4.517 1.510
0.035 0.022 9.161
ATOMIC_POSITIONS crystal
La 0.000 0.000 0.000
Sc 0.860 0.860 0.421
Sc 0.140 0.140 0.579
Ir 0.666 0.666 0.003
Ir 0.334 0.334 0.997
Ir 0.500 0.500 0.500
Ir 0.413 0.413 0.255
Ir 0.919 0.413 0.255
Ir 0.413 0.919 0.255
Ir 0.587 0.587 0.745
Ir 0.587 0.081 0.745
Ir 0.081 0.587 0.745
```

[2]
DFT (GGA-PBE) results for an optimized crystal structure of Ti2HgIBr. Values from VASP.

Energy relative to the elements, uncorrected   792 meV per atom

```
&SYSTEM
  ibrav = 0, nat = 5, ntyp = 4
/
ATOMIC_SPECIES
I 126.90 I.upf
Hg 200.59 Hg.upf
Br 79.90 Br.upf
Ti 47.87 Ti.upf
CELL_PARAMETERS angstrom
5.418 0.000 0.000
0.000 5.449 0.000
0.000 0.000 5.418
ATOMIC_POSITIONS crystal
I 0.500 0.500 0.500
Hg 0.000 0.000 0.000
Br 0.000 0.500 0.000
Ti 0.000 0.000 0.500
Ti 0.500 0.000 0.000
```